# 1
Computed, not measured: a relaxed SiAg2Cl6 crystal at the PBE level of DFT.

Cell lengths 6.499, 6.409, 10.778 Å; angles 90.00, 88.76, 90.00 degrees
Atoms (fractional coordinates):
Cl 0.862 0.842 0.332
Cl 0.246 0.277 0.007
Cl 0.683 0.281 0.873
Cl 0.183 0.219 0.373
Cl 0.746 0.223 0.507
Cl 0.317 0.719 0.127
Cl 0.817 0.781 0.627
Cl 0.254 0.777 0.493
Cl 0.138 0.158 0.668
Cl 0.638 0.342 0.168
Cl 0.362 0.658 0.832
Cl 0.754 0.723 0.993
Si 0.000 0.000 0.500
Si 0.500 0.500 0.000
Ag 0.991 0.528 0.793
Ag 0.509 0.028 0.707
Ag 0.491 0.972 0.293
Ag 0.009 0.472 0.207

Calculated values
The density of states at the Fermi level is 0.0 states/eV/cell. The spin magnetization is 0.00 μB/f.u. The formation energy from raw total energies is -0.7312 eV per atom. The value obtained for the total energy is -3.20 eV/atom.



# 2
Computed, not measured: a relaxed Si2TcAgCl crystal at the PBE level of DFT.

Cell lengths 4.558, 5.539, 4.558 Å; angles 90.00, 90.00, 90.00 degrees
Atoms (fractional coordinates):
Tc 0.000 0.000 0.000
Si 0.500 0.000 0.000
Si 0.000 0.000 0.500
Ag 0.000 0.500 0.000
Cl 0.500 0.500 0.500

Calculated values
The density of states at the Fermi level is 5.0 states/eV/cell. The spin magnetization is 0.00 μB/f.u. The formation energy from raw total energies is 0.5414 eV per atom. The value obtained for the total energy is -4.64 eV/atom.



# 3
Computed, not measured: a relaxed SmAgCl4 crystal at the PBE level of DFT.

Cell lengths 7.687, 7.687, 7.687 Å; angles 107.04, 107.04, 114.45 degrees
Atoms (fractional coordinates):
Cl 0.720 0.511 0.209
Cl 0.738 0.039 0.302
Cl 0.302 0.511 0.791
Cl 0.261 0.970 0.709
Cl 0.186 0.988 0.198
Cl 0.789 0.988 0.802
Cl 0.261 0.552 0.291
Cl 0.738 0.436 0.698
Ag 0.021 0.521 0.500
Ag 0.271 0.271 0.000
Sm 0.732 0.732 0.000
Sm 0.482 0.982 0.500

Calculated values
The density of states at the Fermi level is 0.0 states/eV/cell. The spin magnetization is 0.00 μB/f.u. The formation energy from raw total energies is -1.6316 eV per atom. The value obtained for the total energy is -4.12 eV/atom.



# 4
Computed, not measured: a relaxed SmAgCl6 crystal at the PBE level of DFT.

Cell lengths 7.246, 7.786, 7.026 Å; angles 61.14, 57.88, 46.85 degrees
Atoms (fractional coordinates):
Cl 0.744 0.088 0.810
Cl 0.108 0.450 0.720
Cl 0.405 0.787 0.712
Cl 0.892 0.550 0.280
Cl 0.256 0.912 0.190
Cl 0.595 0.213 0.288
Ag 0.000 0.000 0.000
Sm 0.500 0.500 0.500

Calculated values
The spin magnetization is 0.00 μB/f.u. The formation energy from raw total energies is -1.1331 eV per atom. The value obtained for the total energy is -3.46 eV/atom.



# 5
Computed, not measured: a relaxed SmAgCl5 crystal at the PBE level of DFT.

Cell lengths 6.986, 6.986, 8.208 Å; angles 84.46, 84.46, 101.84 degrees
Atoms (fractional coordinates):
Cl 0.717 0.448 0.544
Cl 0.283 0.552 0.456
Cl 0.070 0.327 0.843
Cl 0.930 0.673 0.157
Cl 0.448 0.717 0.044
Cl 0.552 0.283 0.956
Cl 0.327 0.070 0.343
Cl 0.673 0.930 0.657
Cl 0.136 0.864 0.750
Cl 0.864 0.136 0.250
Ag 0.000 0.000 0.000
Ag 0.000 0.000 0.500
Sm 0.441 0.559 0.750
Sm 0.559 0.441 0.250

Calculated values
The density of states at the Fermi level is 7.1 states/eV/cell. The spin magnetization is 0.00 μB/f.u. The formation energy from raw total energies is -1.3907 eV per atom. The value obtained for the total energy is -3.79 eV/atom.



# 6
Computed, not measured: a relaxed SmAg5Cl8 crystal at the PBE level of DFT.

Cell lengths 7.586, 7.586, 7.586 Å; angles 107.28, 107.28, 113.94 degrees
Atoms (fractional coordinates):
Cl 0.181 0.365 0.240
Cl 0.568 0.852 0.315
Cl 0.747 0.432 0.284
Cl 0.059 0.819 0.184
Cl 0.635 0.875 0.816
Cl 0.148 0.463 0.716
Cl 0.125 0.941 0.760
Cl 0.537 0.253 0.685
Ag 0.912 0.310 0.895
Ag 0.983 0.088 0.398
Ag 0.500 0.500 0.000
Ag 0.690 0.585 0.602
Ag 0.415 0.017 0.105
Sm 0.250 0.750 0.500

Calculated values
The density of states at the Fermi level is 0.0 states/eV/cell. The spin magnetization is 0.00 μB/f.u. The formation energy from raw total energies is -0.9246 eV per atom. The value obtained for the total energy is -3.34 eV/atom.



# 7
Computed, not measured: a relaxed SmAg2Cl5 crystal at the PBE level of DFT.

Cell lengths 7.375, 10.333, 7.563 Å; angles 66.22, 60.82, 69.09 degrees
Atoms (fractional coordinates):
Ag 0.388 0.473 0.882
Ag 0.258 0.973 0.382
Ag 0.644 0.596 0.245
Ag 0.515 0.096 0.745
Cl 0.279 0.144 0.537
Cl 0.863 0.922 0.593
Cl 0.039 0.644 0.037
Cl 0.622 0.422 0.093
Cl 0.803 0.033 0.065
Cl 0.198 0.232 0.021
Cl 0.704 0.335 0.608
Cl 0.353 0.835 0.108
Cl 0.548 0.732 0.521
Cl 0.098 0.533 0.565
Sm 0.951 0.283 0.815
Sm 0.951 0.783 0.315

Calculated values
The density of states at the Fermi level is 0.0 states/eV/cell. The spin magnetization is 0.00 μB/f.u. The formation energy from raw total energies is -1.3350 eV per atom. The value obtained for the total energy is -3.79 eV/atom.



# 8
Computed, not measured: a relaxed Sm2AgCl crystal at the PBE level of DFT.

Cell lengths 3.608, 3.608, 9.339 Å; angles 78.86, 78.86, 60.00 degrees
Atoms (fractional coordinates):
Sm 0.086 0.086 0.742
Sm 0.247 0.247 0.258
Cl 0.500 0.500 0.499
Ag 0.666 0.666 0.001

Calculated values
The density of states at the Fermi level is 3.3 states/eV/cell. The spin magnetization is 0.00 μB/f.u. The formation energy from raw total energies is -0.6898 eV per atom. The value obtained for the total energy is -4.22 eV/atom.



# 9
Computed, not measured: a relaxed SmAg6Cl12 crystal at the PBE level of DFT.

Cell lengths 8.820, 8.820, 8.820 Å; angles 75.93, 75.93, 75.93 degrees
Atoms (fractional coordinates):
Cl 0.007 0.681 0.063
Cl 0.177 0.553 0.407
Cl 0.681 0.063 0.007
Cl 0.447 0.593 0.823
Cl 0.063 0.007 0.681
Cl 0.937 0.993 0.319
Cl 0.407 0.177 0.553
Cl 0.993 0.319 0.937
Cl 0.823 0.447 0.593
Cl 0.553 0.407 0.177
Cl 0.593 0.823 0.447
Cl 0.319 0.937 0.993
Ag 0.403 0.888 0.704
Ag 0.597 0.112 0.296
Ag 0.296 0.597 0.112
Ag 0.112 0.296 0.597
Ag 0.704 0.403 0.888
Ag 0.888 0.704 0.403
Sm 0.000 0.000 0.000

Calculated values
The density of states at the Fermi level is 8.0 states/eV/cell. The spin magnetization is 0.00 μB/f.u. The formation energy from raw total energies is -0.7714 eV per atom. The value obtained for the total energy is -3.09 eV/atom.



# 10
Computed, not measured: a relaxed SmAgCl4 crystal at the PBE level of DFT.

Cell lengths 7.139, 7.056, 7.056 Å; angles 100.92, 104.32, 104.32 degrees
Atoms (fractional coordinates):
Cl 0.130 0.312 0.220
Cl 0.021 0.860 0.258
Cl 0.521 0.258 0.860
Cl 0.370 0.780 0.688
Cl 0.479 0.742 0.140
Cl 0.630 0.220 0.312
Cl 0.870 0.688 0.780
Cl 0.979 0.140 0.742
Sm 0.250 0.997 0.003
Sm 0.750 0.003 0.997
Ag 0.250 0.384 0.616
Ag 0.750 0.616 0.384

Calculated values
The density of states at the Fermi level is 0.0 states/eV/cell. The spin magnetization is 0.00 μB/f.u. The formation energy from raw total energies is -1.5370 eV per atom. The value obtained for the total energy is -4.03 eV/atom.



# 11
Computed, not measured: a relaxed Sm2AgCl crystal at the PBE level of DFT.

Cell lengths 3.419, 3.419, 10.746 Å; angles 80.85, 80.85, 60.00 degrees
Atoms (fractional coordinates):
Sm 0.905 0.905 0.285
Sm 0.095 0.095 0.715
Cl 0.500 0.500 0.500
Ag 0.000 0.000 0.000

Calculated values
The density of states at the Fermi level is 2.9 states/eV/cell. The spin magnetization is 0.00 μB/f.u. The formation energy from raw total energies is -0.3701 eV per atom. The value obtained for the total energy is -3.90 eV/atom.



# 12
Computed, not measured: a relaxed SmAgSnCl6 crystal at the PBE level of DFT.

Cell lengths 6.920, 6.920, 12.747 Å; angles 90.00, 90.00, 120.00 degrees
Atoms (fractional coordinates):
Sn 0.000 0.000 0.500
Sn 0.000 0.000 0.000
Ag 0.333 0.667 0.250
Ag 0.667 0.333 0.750
Cl 0.654 0.662 0.628
Cl 0.662 0.654 0.128
Cl 0.662 0.007 0.372
Cl 0.993 0.338 0.128
Cl 0.993 0.654 0.372
Cl 0.346 0.007 0.128
Cl 0.007 0.346 0.628
Cl 0.346 0.338 0.372
Cl 0.654 0.993 0.872
Cl 0.338 0.346 0.872
Cl 0.007 0.662 0.872
Cl 0.338 0.993 0.628
Sm 0.667 0.333 0.250
Sm 0.333 0.667 0.750

Calculated values
The density of states at the Fermi level is 0.0 states/eV/cell. The spin magnetization is 0.00 μB/f.u. The formation energy from raw total energies is -1.4252 eV per atom. The value obtained for the total energy is -3.94 eV/atom.



- formation energy from raw total energies of number 5 (SmAgCl5)?
  -1.3907 eV per atom